Computed, not measured: a relaxed CrGaOF2 crystal at the GGA+U level of DFT.

Calculated values
Excess energy over the best structure of this formula in the dataset, eV/atom: 0.138
N(E_F), states/eV per cell: 1.07

Geometry as CIF:
```
data_CrGaOF2
_space_group_name_H-M_alt 'P 1'
_space_group_IT_number 1
_cell_length_a 4.095
_cell_length_b 4.095
_cell_length_c 3.670
_cell_angle_alpha 90.00
_cell_angle_beta 90.00
_cell_angle_gamma 90.00
loop_
_space_group_symop_operation_xyz
'x,y,z'
loop_
_atom_site_label
_atom_site_type_symbol
_atom_site_fract_x
_atom_site_fract_y
_atom_site_fract_z
Cr1 Cr 0.500 0.500 0.500
O1 O 0.000 0.000 0.500
Ga1 Ga 0.000 0.000 0.000
F1 F 0.000 0.500 0.000
F2 F 0.500 0.000 0.000
```